# 1
VASP calculation (PBE) on an optimized crystal structure of CsK3I4. Values from VASP.

The structure in Quantum ESPRESSO input format:
```
&SYSTEM
  ibrav = 0, nat = 16, ntyp = 3
/
ATOMIC_SPECIES
Cs 132.91 Cs.upf
I 126.90 I.upf
K 39.10 K.upf
ATOMIC_POSITIONS crystal
Cs 0.7500 0.0000 0.8743
Cs 0.2500 0.0000 0.1257
I 0.0104 0.2547 0.6151
I 0.4982 0.2687 0.8646
I 0.5104 0.2547 0.3849
I 0.9982 0.2687 0.1354
I 0.0018 0.7313 0.8646
I 0.4896 0.7453 0.6151
I 0.5018 0.7313 0.1354
I 0.9896 0.7453 0.3849
K 0.7500 0.0000 0.3776
K 0.2500 0.0000 0.6224
K 0.7500 0.5000 0.6228
K 0.7500 0.5000 0.1283
K 0.2500 0.5000 0.3772
K 0.2500 0.5000 0.8717
CELL_PARAMETERS angstrom
-6.2578 3.2932 5.5201
-2.7996 -7.8795 -3.3584
4.4212 -4.9710 7.9776
```

Output
- Crystal system: monoclinic
- Excess energy over the best structure of this formula in the dataset: 0.0 kJ/mol of formula units
- Electronic total energy: -2.7852 eV per atom
- E_form (uncorrected): -1.49 eV per atom

=====

# 2
VASP calculation (PBE) on an optimized crystal structure of Nd8TeRh3I4. Values from VASP.

The structure in Quantum ESPRESSO input format:
```
&SYSTEM
  ibrav = 0, nat = 16, ntyp = 4
/
ATOMIC_SPECIES
Nd 144.24 Nd.upf
Te 127.60 Te.upf
Rh 102.91 Rh.upf
I 126.90 I.upf
ATOMIC_POSITIONS crystal
Nd 0.2451 0.6907 0.9457
Nd 0.2451 0.6907 0.4902
Nd 0.2714 0.3143 0.5429
Nd 0.7005 0.6907 0.9457
Nd 0.2995 0.3093 0.0543
Nd 0.7286 0.6857 0.4571
Nd 0.7549 0.3093 0.5098
Nd 0.7549 0.3093 0.0543
Te 0.0000 0.5000 0.0000
Rh 0.5000 0.5000 0.0000
Rh 0.5000 0.5000 0.5000
Rh 0.0000 0.5000 0.5000
I 0.5000 0.0000 0.0000
I 0.5000 0.0000 0.5000
I 0.0000 0.0000 0.0000
I 0.0000 0.0000 0.5000
CELL_PARAMETERS angstrom
-7.6050 -3.8332 1.5341
4.0584 -8.4599 -1.0193
3.4106 5.3548 5.8811
```

Output
- Crystal system: trigonal
- Electronic total energy: -5.2914 eV per atom
- E_form (uncorrected): -0.95 eV per atom

=====

# 3
VASP calculation (PBE) on an optimized crystal structure of Np2Ge4Ir3Pt. Values from VASP.

The structure in Quantum ESPRESSO input format:
```
&SYSTEM
  ibrav = 0, nat = 10, ntyp = 4
/
ATOMIC_SPECIES
Np 237.00 Np.upf
Ge 72.64 Ge.upf
Ir 192.22 Ir.upf
Pt 195.08 Pt.upf
ATOMIC_POSITIONS crystal
Np 0.5000 0.0000 0.2395
Np 0.0000 0.5000 0.7604
Ge 0.5000 0.5000 0.0000
Ge 0.0000 0.0000 0.0000
Ge 0.5000 0.0000 0.6368
Ge 0.0000 0.5000 0.3632
Ir 0.0000 0.0000 0.5000
Ir 0.5000 0.0000 0.8698
Ir 0.0000 0.5000 0.1302
Pt 0.5000 0.5000 0.5000
CELL_PARAMETERS angstrom
-1.3641 -0.0220 3.9766
0.6784 -4.1437 0.2098
9.6567 1.7491 3.3222
```

Output
- Crystal system: tetragonal
- Electronic total energy: -8.1421 eV per atom
- Energy relative to the elements: -0.4446 eV/atom

=====

# 4
VASP calculation (PBE) on an optimized crystal structure of NaCu2Cl2. Values from VASP.

The structure in Quantum ESPRESSO input format:
```
&SYSTEM
  ibrav = 0, nat = 10, ntyp = 3
/
ATOMIC_SPECIES
Na 22.99 Na.upf
Cu 63.55 Cu.upf
Cl 35.45 Cl.upf
ATOMIC_POSITIONS crystal
Na 0.0000 0.0000 0.0000
Na 0.5000 0.5000 0.0000
Cu 0.1120 0.6120 0.5000
Cu 0.6120 0.8880 0.5000
Cu 0.8880 0.3880 0.5000
Cu 0.3880 0.1120 0.5000
Cl 0.2100 0.7100 0.0000
Cl 0.7100 0.7900 0.0000
Cl 0.7900 0.2900 0.0000
Cl 0.2900 0.2100 0.0000
CELL_PARAMETERS angstrom
-6.1223 2.3293 -3.9542
-4.5377 -2.0874 5.7962
0.3663 3.7298 1.6300
```

Output
- Crystal system: tetragonal
- Excess energy over the best structure of this formula in the dataset: 39.9 kJ/mol of formula units
- Electronic total energy: -2.9817 eV per atom
- E_form (uncorrected): -0.34 eV per atom

=====

# 5
VASP calculation (PBE) on an optimized crystal structure of K2BaTa. Values from VASP.

The structure in Quantum ESPRESSO input format:
```
&SYSTEM
  ibrav = 0, nat = 4, ntyp = 3
/
ATOMIC_SPECIES
Ba 137.33 Ba.upf
K 39.10 K.upf
Ta 180.95 Ta.upf
ATOMIC_POSITIONS crystal
Ba 0.5000 0.5000 0.7500
K 0.0000 0.0000 0.0393
K 0.0000 0.0000 0.4607
Ta 0.5000 0.5000 0.2500
CELL_PARAMETERS angstrom
-4.4876 2.2537 -0.0094
-2.1286 -4.2452 -1.6324
-1.1198 -2.1998 7.1807
```

Output
- Crystal system: tetragonal
- Excess energy over the best structure of this formula in the dataset: 154.1 kJ/mol of formula units
- Electronic total energy: -2.6091 eV per atom
- Energy relative to the elements: 1.3835 eV/atom

=====

# 6
VASP calculation (PBE) on an optimized crystal structure of TmTcHgO6. Values from VASP.

The structure in Quantum ESPRESSO input format:
```
&SYSTEM
  ibrav = 0, nat = 9, ntyp = 4
/
ATOMIC_SPECIES
Tm 168.93 Tm.upf
Tc 98.00 Tc.upf
Hg 200.59 Hg.upf
O 16.00 O.upf
ATOMIC_POSITIONS crystal
Tm 0.6666 0.6666 0.5000
Tc 0.3155 0.3156 0.5000
Hg 0.9819 0.9819 0.0000
O 0.9906 0.4163 0.2771
O 0.4162 0.9906 0.7229
O 0.6651 0.3127 0.7094
O 0.1009 0.5503 0.6983
O 0.3127 0.6651 0.2906
O 0.5503 0.1009 0.3017
CELL_PARAMETERS angstrom
5.6341 0.0671 -0.4004
2.8752 4.8456 0.4004
-0.3414 0.5914 5.2798
```

Output
- Crystal system: monoclinic
- Electronic total energy: -6.6182 eV per atom
- E_form (uncorrected): -1.63 eV per atom